A relaxed Pm2Si4Ir3Pd crystal. Source: the Alexandria database, functional PBE.

```
Pm2Si4Ir3Pd
1.0
4.187 0.000 0.000
0.000 4.187 0.000
0.000 0.000 9.955
Pm Si Ir Pd
2 4 3 1
Direct
0.000 0.500 0.241 Pm
0.500 0.000 0.759 Pm
0.000 0.000 0.000 Si
0.000 0.500 0.635 Si
0.500 0.000 0.365 Si
0.500 0.500 0.000 Si
0.000 0.500 0.875 Ir
0.500 0.000 0.125 Ir
0.500 0.500 0.500 Ir
0.000 0.000 0.500 Pd
```

Calculated values
Raw formation energy: -1001.8 meV/atom
Total moment: 0.00 μB/cell
Crystal system: tetragonal